The following is a PBE calculation of a relaxed structure of Li2CuIrO4, from Alexandria via LeMat-Bulk.

Values from the calculation:
Formation energy without anion corrections in meV per atom: -800
Crystal system: tetragonal

a b c (Å): 4.9228 4.9228 4.9228
angles (deg): 111.63 111.63 105.24
With the nearest neighbours (Å) after each atom.
Fractional coordinates of all 8 atoms:
Li (0.2500, 0.7500, 0.5000)  4 O 2.06
Li (0.7500, 0.2500, 0.5000)  4 O 2.06
Cu (0.0000, 0.0000, 0.0000)  4 O 2.07
Ir (0.5000, 0.5000, 0.0000)  4 O 1.92
O (0.0980, 0.0980, 0.6633)  1 Ir 1.92, 2 Li 2.06, 1 Cu 2.07
O (0.4346, 0.4346, 0.3367)  1 Ir 1.92, 2 Li 2.06, 1 Cu 2.07
O (0.5654, 0.9020, 0.0000)  1 Ir 1.92, 2 Li 2.06, 1 Cu 2.07
O (0.9020, 0.5654, 0.0000)  1 Ir 1.92, 2 Li 2.06, 1 Cu 2.07